(1)
Li2Ca2TbTl2 | GGA-PBE | relaxed

Cell lengths 4.9418, 4.9418, 9.6799 Å; angles 75.21, 75.21, 60.00 degrees
Last column: nearest neighbours and their distance in Å.
Fractional positions:
Li 0.6108 0.6108 0.1676  3 Tl 2.86
Li 0.3892 0.3892 0.8324  3 Tl 2.86
Ca 0.1234 0.1234 0.6298  3 Tl 3.31, 3 Li 3.41, 1 Tb 3.42
Ca 0.8766 0.8766 0.3702  3 Tl 3.31, 3 Li 3.41, 1 Tb 3.42
Tb 0.0000 0.0000 0.0000  6 Li 3.25, 6 Tl 3.35, 2 Ca 3.42
Tl 0.7297 0.7297 0.8108  3 Li 2.86
Tl 0.2703 0.2703 0.1892  3 Li 2.86

Calculated values
* E: -2.69 eV/atom
* ΔE_f: -1.6 eV per formula unit

***

(2)
CaZn2Ag2 | GGA-PBE | relaxed

Cell lengths 4.3146, 4.3146, 11.7051 Å; angles 100.62, 100.62, 90.00 degrees
Last column: nearest neighbours and their distance in Å.
Fractional positions:
Ca 0.6238 0.6238 0.2475  8 Zn 3.29-3.58, 8 Ag 3.32-3.53
Ca 0.3762 0.3762 0.7525  8 Zn 3.29-3.58, 8 Ag 3.32-3.53
Zn 0.7500 0.2500 0.5000  4 Ag 2.66
Zn 0.9313 0.9313 0.8626  5 Ag 2.54-2.66
Zn 0.0687 0.0687 0.1374  5 Ag 2.54-2.66
Zn 0.2500 0.7500 0.5000  4 Ag 2.66
Ag 0.0000 0.5000 0.0000  4 Zn 2.66
Ag 0.1812 0.1812 0.3625  5 Zn 2.54-2.66
Ag 0.5000 0.0000 0.0000  4 Zn 2.66
Ag 0.8188 0.8188 0.6375  5 Zn 2.54-2.66

Calculated values
* E: -2.24 eV/atom
* distance to the lowest polymorph of the same formula: 1.0 kJ per mole of atoms
* ΔE_f: -0.9 eV per formula unit

***

(3)
KPu2Bi2 | GGA-PBE | relaxed

Cell lengths 3.3727, 3.6541, 11.2033 Å; angles 99.39, 98.66, 90.00 degrees
Last column: nearest neighbours and their distance in Å.
Fractional positions:
K 0.0000 0.0000 0.0000  4 K 3.37-3.65, 8 Bi 3.69
Pu 0.7491 0.2491 0.4982  4 Pu 2.49
Pu 0.2509 0.7509 0.5018  4 Pu 2.49
Bi 0.6246 0.6246 0.2492  4 Pu 3.23-3.28, 2 Bi 3.37
Bi 0.3754 0.3754 0.7508  4 Pu 3.23-3.28, 2 Bi 3.37

Calculated values
* E: -7.38 eV/atom
* ΔE_f: 0.6 eV per formula unit

***

(4)
ZrCdSeBr2 | GGA-PBE | relaxed

Cell lengths 5.2817, 5.2817, 5.4070 Å; angles 90.00, 90.00, 90.00 degrees
Last column: nearest neighbours and their distance in Å.
Fractional positions:
Se 0.0000 0.0000 0.5000  2 Cd 2.70
Br 0.0000 0.5000 0.0000  2 Cd 2.64
Br 0.5000 0.0000 0.0000  2 Cd 2.64
Zr 0.5000 0.5000 0.5000  4 Se 3.73, 8 Br 3.78
Cd 0.0000 0.0000 0.0000  4 Br 2.64, 2 Se 2.70

Calculated values
* E: -3.11 eV/atom
* distance to the lowest polymorph of the same formula: 83.1 kJ per mole of atoms
* formation energy (no corrections): 0.147 eV per atom

***

(5)
BaRhW2 | GGA-PBE | relaxed

Cell lengths 5.0510, 5.0510, 9.5103 Å; angles 74.60, 74.60, 90.00 degrees
Last column: nearest neighbours and their distance in Å.
Fractional positions:
Rh 0.5000 0.5000 0.0000  4 W 2.54
Rh 0.2500 0.7500 0.5000  4 W 2.54
Ba 0.0000 0.0000 0.0000  4 Rh 3.57, 8 W 3.58
Ba 0.7500 0.2500 0.5000  4 Rh 3.57, 8 W 3.58
W 0.3751 0.1250 0.2500  2 W 2.53, 2 Rh 2.54
W 0.3749 0.6250 0.2500  2 W 2.53, 2 Rh 2.54
W 0.3750 0.6249 0.7500  2 W 2.53, 2 Rh 2.54
W 0.8750 0.6251 0.7500  2 W 2.53, 2 Rh 2.54

Calculated values
* E: -7.60 eV/atom
* distance to the lowest polymorph of the same formula: 58.8 kJ per mole of atoms
* ΔE_f: 4.8 eV per formula unit

***

(6)
Pa2AuS | GGA-PBE | relaxed

Cell lengths 3.6808, 3.6808, 8.1297 Å; angles 76.92, 76.92, 60.00 degrees
Last column: nearest neighbours and their distance in Å.
Fractional positions:
Pa 0.0737 0.0737 0.7788  3 S 2.75, 3 Au 3.05
Pa 0.2600 0.2600 0.2200  3 S 2.73, 3 Au 3.06
Au 0.4998 0.4998 0.5006  6 Pa 3.05-3.06
S 0.6664 0.6664 0.0007  6 Pa 2.73-2.75

Calculated values
* E: -7.40 eV/atom
* distance to the lowest polymorph of the same formula: 0.0 kJ per mole of atoms
* formation energy (no corrections): -0.801 eV per atom

***

(7)
Sm8Ho4Er3 | GGA-PBE | relaxed

Cell lengths 6.8411, 9.1077, 9.1077 Å; angles 83.19, 110.43, 110.43 degrees
Last column: nearest neighbours and their distance in Å.
Fractional positions:
Sm 0.2891 0.2448 0.2448  1 Ho 2.98, 1 Er 3.08
Sm 0.0000 0.7039 0.2961  3 Ho 3.45-3.58, 4 Sm 3.47, 2 Er 3.57
Sm 0.8270 0.2977 0.2977  4 Sm 3.40-3.56, 3 Ho 3.42-3.60, 2 Er 3.63
Sm 0.5000 0.7527 0.2473  1 Ho 2.99, 1 Er 3.06
Sm 0.5000 0.2473 0.7527  1 Ho 2.99, 1 Er 3.06
Sm 0.1730 0.7023 0.7023  4 Sm 3.40-3.56, 3 Ho 3.42-3.60, 2 Er 3.63
Sm 0.0000 0.2961 0.7039  3 Ho 3.45-3.58, 4 Sm 3.47, 2 Er 3.57
Sm 0.7109 0.7552 0.7552  1 Ho 2.98, 1 Er 3.08
Ho 0.5000 0.0000 0.0000  2 Sm 2.99
Ho 0.0000 0.5000 0.0000  8 Sm 3.42-3.63, 2 Er 3.42
Ho 0.0000 0.0000 0.0000  2 Sm 2.98
Ho 0.0000 0.0000 0.5000  8 Sm 3.42-3.63, 2 Er 3.42
Er 0.5000 0.5000 0.0000  8 Sm 3.34-3.63, 2 Ho 3.42
Er 0.5000 0.0000 0.5000  8 Sm 3.34-3.63, 2 Ho 3.42
Er 0.5000 0.5000 0.5000  4 Sm 3.06-3.08

Calculated values
* E: -4.29 eV/atom
* ΔE_f: 5.3 eV per formula unit

***

(8)
LiPrAl2Au4 | GGA-PBE | relaxed

Cell lengths 4.4781, 4.4781, 9.0911 Å; angles 75.74, 75.74, 60.00 degrees
Last column: nearest neighbours and their distance in Å.
Fractional positions:
Li 0.5000 0.5000 0.5000  8 Au 2.60-2.73
Pr 0.0000 0.0000 0.0000  8 Au 3.13-3.49
Al 0.7618 0.7618 0.7145  7 Au 2.69-2.77
Al 0.2382 0.2382 0.2855  7 Au 2.69-2.77
Au 0.4007 0.4007 0.7978  1 Li 2.60, 3 Al 2.69
Au 0.8666 0.8666 0.4003  3 Li 2.73, 4 Al 2.74-2.77
Au 0.1334 0.1334 0.5997  3 Li 2.73, 4 Al 2.74-2.77
Au 0.5993 0.5993 0.2022  1 Li 2.60, 3 Al 2.69

Calculated values
* E: -4.04 eV/atom
* ΔE_f: -5.1 eV per formula unit